# PBE-GGA Ca3PrU2P6, optimized geometry
# energy of formation from the pure elements: -1146 meV/atom
# M_tot: 2.99 μB per formula unit
# crystal system: monoclinic
# total energy: -0.4874 Ry/atom
data_Ca3PrU2P6
_cell_length_a 7.092
_cell_length_b 12.279
_cell_length_c 7.062
_cell_angle_alpha 90.00
_cell_angle_beta 109.62
_cell_angle_gamma 90.00
_space_group_name_H-M_alt 'C 1 2/m 1'
_space_group_IT_number 12
loop_
_space_group_symop_operation_xyz
'x,y,z'
'-x,-y,-z'
'-x,y,-z'
'x,-y,z'
'x+1/2,y+1/2,z'
'-x+1/2,-y+1/2,-z'
'-x+1/2,y+1/2,-z'
'x+1/2,-y+1/2,z'
loop_
_atom_site_label
_atom_site_type_symbol
_atom_site_fract_x
_atom_site_fract_y
_atom_site_fract_z
Ca1 Ca 0.000 0.000 0.000
Ca2 Ca 0.000 0.337 0.000
Pr1 Pr 0.000 0.500 0.500
U1 U 0.000 0.167 0.500
P1 P 0.226 0.000 0.731
P2 P 0.248 0.176 0.271